A plane-wave DFT calculation with PBE with a Hubbard U was carried out for Tm2CoO4 after structural relaxation.

The structure belongs to space group Fd-3m (No. 227, origin choice 2); the cell edges are 9.137, 9.137 and 9.137 Å and the angles 90.00°, 90.00° and 90.00°. Symmetry generates all atoms from Tm at (0.000, 0.000, 0.000), Co at (0.125, 0.125, 0.625) and O at (0.006, 0.006, 0.244).

The calculation puts the density at 8.03 g cm⁻³. As for the electronic total energy: -7.616 eV/atom. The value obtained for the volume is 13.62 A^3/atom.